The following is a DFT calculation (PBE+U) of an optimized crystal structure of NaTmWO5.

Cell: 6.181 6.181 7.916 Å, 102.85 102.85 109.13°
Element x y z (fractional)
Na  0.204  0.796  0.750
Na  0.796  0.204  0.250
Tm  0.500  0.500  0.000
Tm  0.500  0.500  0.500
W  0.189  0.811  0.250
W  0.811  0.189  0.750
O  0.095  0.264  0.923
O  0.172  0.580  0.362
O  0.264  0.095  0.423
O  0.420  0.828  0.138
O  0.424  0.576  0.750
O  0.576  0.424  0.250
O  0.580  0.172  0.862
O  0.736  0.905  0.577
O  0.828  0.420  0.638
O  0.905  0.736  0.077

Space group   C2/c
Total energy   -7.138 eV per atom